Here is a relaxed structure of DyGe2Rh2 from Alexandria. Energies are from PBEsol.

## Properties
E_tot	-0.2627	hartree per atom
ΔE_f	-89	kJ per mole of atoms
Fermi-level density of states	2.32	states/eV/f.u.

```
data_DyGe2Rh2
_chemical_formula_sum 'Dy2 Ge4 Rh4'
_symmetry_space_group_name_H-M 'I 4/m m m'
_symmetry_Int_Tables_number 139
_symmetry_space_group_name_Hall '-I 4 2'
_cell_length_a 4.069
_cell_length_b 4.069
_cell_length_c 10.229
_cell_angle_alpha 90.00
_cell_angle_beta 90.00
_cell_angle_gamma 90.00
loop_
_atom_site_label
_atom_site_fract_x
_atom_site_fract_y
_atom_site_fract_z
Dy1 0.000 0.000 0.000
Ge1 0.000 0.000 0.379
Rh1 0.000 0.500 0.250
```

=====

Here is a relaxed structure of NaGd3Ti2Sb2O14 from Alexandria. Energies are from PBEsol.

## Properties
E above lowest polymorph	3	meV per atom
E_tot	-0.3404	hartree per atom
energy relative to the elements, uncorrected	-59.78	eV per formula unit
Fermi-level density of states	0.00	states/eV/f.u.

```
data_NaGd3Ti2Sb2O14
_chemical_formula_sum 'Na2 Gd6 Ti4 Sb4 O28'
_symmetry_space_group_name_H-M 'C 1 2/m 1'
_symmetry_Int_Tables_number 12
_cell_length_a 12.468
_cell_length_b 7.321
_cell_length_c 7.188
_cell_angle_alpha 90.00
_cell_angle_beta 124.65
_cell_angle_gamma 90.00
loop_
_symmetry_equiv_pos_as_xyz
'x,y,z'
'-x,-y,-z'
'-x,y,-z'
'x,-y,z'
'x+1/2,y+1/2,z'
'-x+1/2,-y+1/2,-z'
'-x+1/2,y+1/2,-z'
'x+1/2,-y+1/2,z'
loop_
_atom_site_label
_atom_site_fract_x
_atom_site_fract_y
_atom_site_fract_z
Na1 0.000 0.000 0.000
Gd1 0.000 0.000 0.500
Gd2 0.250 0.250 0.000
Ti1 0.000 0.500 0.000
Ti2 0.000 0.500 0.500
Sb1 0.250 0.250 0.500
O1 0.071 0.500 0.818
O2 0.123 0.299 0.578
O3 0.130 0.308 0.176
O4 0.131 0.000 0.871
O5 0.170 0.000 0.425
```

=====

Here is a relaxed structure of AgPt2Au from Alexandria. Energies are from PBEsol.

## Properties
E above lowest polymorph	18	meV per atom
E_tot	-0.1940	hartree per atom
ΔE_f	1	kJ per mole of atoms
Fermi-level density of states	2.10	states/eV/f.u.

```
data_AgPt2Au
_chemical_formula_sum 'Ag2 Pt4 Au2'
_symmetry_space_group_name_H-M 'C 1 2/m 1'
_symmetry_Int_Tables_number 12
_cell_length_a 5.503
_cell_length_b 9.612
_cell_length_c 2.752
_cell_angle_alpha 90.00
_cell_angle_beta 119.41
_cell_angle_gamma 90.00
loop_
_symmetry_equiv_pos_as_xyz
'x,y,z'
'-x,-y,-z'
'-x,y,-z'
'x,-y,z'
'x+1/2,y+1/2,z'
'-x+1/2,-y+1/2,-z'
'-x+1/2,y+1/2,-z'
'x+1/2,-y+1/2,z'
loop_
_atom_site_label
_atom_site_fract_x
_atom_site_fract_y
_atom_site_fract_z
Ag1 0.000 0.000 0.000
Pt1 0.250 0.250 0.500
Au1 0.000 0.500 0.000
```

=====

Here is a relaxed structure of Tl2IrSe from Alexandria. Energies are from PBEsol.

## Properties
E above lowest polymorph	0	meV per atom
E_tot	-0.1542	hartree per atom
energy relative to the elements, uncorrected	2.15	eV per formula unit
Fermi-level density of states	3.19	states/eV/f.u.

```
data_Tl2IrSe
_chemical_formula_sum 'Tl4 Ir2 Se2'
_symmetry_space_group_name_H-M 'I -4 m 2'
_symmetry_Int_Tables_number 119
_symmetry_space_group_name_Hall 'I -4 -2'
_cell_length_a 4.817
_cell_length_b 4.817
_cell_length_c 7.054
_cell_angle_alpha 90.00
_cell_angle_beta 90.00
_cell_angle_gamma 90.00
loop_
_atom_site_label
_atom_site_fract_x
_atom_site_fract_y
_atom_site_fract_z
Tl1 0.000 0.000 0.000
Tl2 0.000 0.500 0.250
Ir1 0.000 0.000 0.500
Se1 0.000 0.500 0.750
```

=====

Here is a relaxed structure of Ba2TeCl from Alexandria. Energies are from PBEsol.

## Properties
E above lowest polymorph	0	meV per atom
E_tot	-0.1568	hartree per atom
energy relative to the elements, uncorrected	-7.23	eV per formula unit
Fermi-level density of states	1.64	states/eV/f.u.

```
data_Ba2TeCl
_chemical_formula_sum 'Ba6 Te3 Cl3'
_symmetry_space_group_name_H-M 'R -3 m'
_symmetry_Int_Tables_number 166
_symmetry_space_group_name_Hall '-R 3 2"'
_cell_length_a 4.7511
_cell_length_b 4.7511
_cell_length_c 22.1543
_cell_angle_alpha 90.00
_cell_angle_beta 90.00
_cell_angle_gamma 120.00
loop_
_atom_site_label
_atom_site_fract_x
_atom_site_fract_y
_atom_site_fract_z
Ba1 0.0000 0.0000 0.2455
Te1 0.0000 0.0000 0.0000
Cl1 0.0000 0.0000 0.5000
```

=====

Here is a relaxed structure of ScNi2P from Alexandria. Energies are from PBEsol.

## Properties
E above lowest polymorph	18	meV per atom
E_tot	-0.2492	hartree per atom
ΔE_f	-58	kJ per mole of atoms
Fermi-level density of states	2.26	states/eV/f.u.

```
data_ScNi2P
_chemical_formula_sum 'Sc2 Ni4 P2'
_symmetry_space_group_name_H-M 'I m m 2'
_symmetry_Int_Tables_number 44
_cell_length_a 3.353
_cell_length_b 4.094
_cell_length_c 7.627
_cell_angle_alpha 90.00
_cell_angle_beta 90.00
_cell_angle_gamma 90.00
loop_
_symmetry_equiv_pos_as_xyz
'x,y,z'
'-x,-y,z'
'-x,y,z'
'x,-y,z'
'x+1/2,y+1/2,z+1/2'
'-x+1/2,-y+1/2,z+1/2'
'-x+1/2,y+1/2,z+1/2'
'x+1/2,-y+1/2,z+1/2'
loop_
_atom_site_label
_atom_site_fract_x
_atom_site_fract_y
_atom_site_fract_z
Sc1 0.000 0.000 0.000
Ni1 0.000 0.000 0.562
Ni2 0.000 0.500 0.778
P1 0.000 0.500 0.240
```

=====

Here is a relaxed structure of LiTlAs2 from Alexandria. Energies are from PBEsol.

## Properties
E_tot	-0.1356	hartree per atom
ΔE_f	1	kJ per mole of atoms
Fermi-level density of states	1.84	states/eV/f.u.

```
data_LiTlAs2
_chemical_formula_sum 'Li3 Tl3 As6'
_symmetry_space_group_name_H-M 'R -3 m'
_symmetry_Int_Tables_number 166
_symmetry_space_group_name_Hall '-R 3 2"'
_cell_length_a 3.0616
_cell_length_b 3.0616
_cell_length_c 29.8503
_cell_angle_alpha 90.00
_cell_angle_beta 90.00
_cell_angle_gamma 120.00
loop_
_atom_site_label
_atom_site_fract_x
_atom_site_fract_y
_atom_site_fract_z
Li1 0.0000 0.0000 0.0000
Tl1 0.0000 0.0000 0.5000
As1 0.0000 0.0000 0.2632
```

=====

Here is a relaxed structure of LiMg2Cu from Alexandria. Energies are from PBEsol.

## Properties
E_tot	-0.0910	hartree per atom
ΔE_f	-4	kJ per mole of atoms
Fermi-level density of states	1.24	states/eV/f.u.

```
data_LiMg2Cu
_chemical_formula_sum 'Li1 Mg2 Cu1'
_symmetry_space_group_name_H-M 'P 4/m m m'
_symmetry_Int_Tables_number 123
_symmetry_space_group_name_Hall '-P 4 2'
_cell_length_a 4.532
_cell_length_b 4.532
_cell_length_c 3.199
_cell_angle_alpha 90.00
_cell_angle_beta 90.00
_cell_angle_gamma 90.00
loop_
_atom_site_label
_atom_site_fract_x
_atom_site_fract_y
_atom_site_fract_z
Li1 0.000 0.000 0.000
Mg1 0.000 0.500 0.500
Cu1 0.500 0.500 0.000
```

=====

Here is a relaxed structure of EuZnGe from Alexandria. Energies are from PBEsol.

## Properties
E_tot	-0.2302	hartree per atom
ΔE_f	-55	kJ per mole of atoms
Fermi-level density of states	8.56	states/eV/f.u.

```
data_EuZnGe
_chemical_formula_sum 'Eu4 Zn4 Ge4'
_symmetry_space_group_name_H-M 'I m m m'
_symmetry_Int_Tables_number 71
_symmetry_space_group_name_Hall '-I 2 2'
_cell_length_a 4.257
_cell_length_b 7.445
_cell_length_c 8.135
_cell_angle_alpha 90.00
_cell_angle_beta 90.00
_cell_angle_gamma 90.00
loop_
_atom_site_label
_atom_site_fract_x
_atom_site_fract_y
_atom_site_fract_z
Eu1 0.000 0.000 0.249
Zn1 0.000 0.333 0.500
Ge1 0.000 0.331 0.000
```

=====

Here is a relaxed structure of TaMn2Nb from Alexandria. Energies are from PBEsol.

## Properties
E_tot	-0.4000	hartree per atom
ΔE_f	-16	kJ per mole of atoms
Fermi-level density of states	1.01	states/eV/f.u.

```
data_TaMn2Nb
_chemical_formula_sum 'Ta4 Mn8 Nb4'
_symmetry_space_group_name_H-M 'F m -3 m'
_symmetry_Int_Tables_number 225
_symmetry_space_group_name_Hall '-F 4 2 3'
_cell_length_a 6.060
_cell_length_b 6.060
_cell_length_c 6.060
_cell_angle_alpha 90.00
_cell_angle_beta 90.00
_cell_angle_gamma 90.00
loop_
_atom_site_label
_atom_site_fract_x
_atom_site_fract_y
_atom_site_fract_z
Ta1 0.000 0.000 0.000
Mn1 0.250 0.250 0.250
Nb1 0.000 0.000 0.500
```

=====

Here is a relaxed structure of HoPt3 from Alexandria. Energies are from PBEsol.

## Properties
E_tot	-0.2757	hartree per atom
ΔE_f	-101	kJ per mole of atoms
Fermi-level density of states	3.07	states/eV/f.u.

```
data_HoPt3
_chemical_formula_sum 'Ho1 Pt3'
_symmetry_space_group_name_H-M 'P m -3 m'
_symmetry_Int_Tables_number 221
_symmetry_space_group_name_Hall '-P 4 2 3'
_cell_length_a 4.045
_cell_length_b 4.045
_cell_length_c 4.045
_cell_angle_alpha 90.00
_cell_angle_beta 90.00
_cell_angle_gamma 90.00
loop_
_atom_site_label
_atom_site_fract_x
_atom_site_fract_y
_atom_site_fract_z
Ho1 0.000 0.000 0.000
Pt1 0.000 0.500 0.500
```

=====

Here is a relaxed structure of MgTcSN2 from Alexandria. Energies are from PBEsol.

## Properties
E_tot	-0.1963	hartree per atom
energy relative to the elements, uncorrected	7.71	eV per formula unit
Fermi-level density of states	2.52	states/eV/f.u.

```
data_MgTcSN2
_chemical_formula_sum 'Mg1 Tc1 S1 N2'
_symmetry_space_group_name_H-M 'P 4/m m m'
_symmetry_Int_Tables_number 123
_symmetry_space_group_name_Hall '-P 4 2'
_cell_length_a 3.861
_cell_length_b 3.861
_cell_length_c 4.703
_cell_angle_alpha 90.00
_cell_angle_beta 90.00
_cell_angle_gamma 90.00
loop_
_atom_site_label
_atom_site_fract_x
_atom_site_fract_y
_atom_site_fract_z
Mg1 0.000 0.000 0.000
Tc1 0.500 0.500 0.500
S1 0.000 0.000 0.500
N1 0.000 0.500 0.000
```

=====

Here is a relaxed structure of ZnIn3Pt from Alexandria. Energies are from PBEsol.

## Properties
E_tot	-0.1074	hartree per atom
ΔE_f	56	kJ per mole of atoms
Fermi-level density of states	1.63	states/eV/f.u.

```
data_ZnIn3Pt
_chemical_formula_sum 'Zn1 In3 Pt1'
_symmetry_space_group_name_H-M 'P m -3 m'
_symmetry_Int_Tables_number 221
_symmetry_space_group_name_Hall '-P 4 2 3'
_cell_length_a 4.911
_cell_length_b 4.911
_cell_length_c 4.911
_cell_angle_alpha 90.00
_cell_angle_beta 90.00
_cell_angle_gamma 90.00
loop_
_atom_site_label
_atom_site_fract_x
_atom_site_fract_y
_atom_site_fract_z
Zn1 0.000 0.000 0.000
In1 0.000 0.000 0.500
Pt1 0.500 0.500 0.500
```

=====

Here is a relaxed structure of Hg2RuPb from Alexandria. Energies are from PBEsol.

## Properties
E_tot	-0.1224	hartree per atom
ΔE_f	48	kJ per mole of atoms
Fermi-level density of states	3.58	states/eV/f.u.

```
data_Hg2RuPb
_chemical_formula_sum 'Hg6 Ru3 Pb3'
_symmetry_space_group_name_H-M 'R -3 m'
_symmetry_Int_Tables_number 166
_symmetry_space_group_name_Hall '-R 3 2"'
_cell_length_a 3.1550
_cell_length_b 3.1550
_cell_length_c 29.2419
_cell_angle_alpha 90.00
_cell_angle_beta 90.00
_cell_angle_gamma 120.00
loop_
_atom_site_label
_atom_site_fract_x
_atom_site_fract_y
_atom_site_fract_z
Hg1 0.0000 0.0000 0.2386
Ru1 0.0000 0.0000 0.5000
Pb1 0.0000 0.0000 0.0000
```